(1)
A relaxed ZnCuSe2 crystal, computed with PBE.

Lattice parameters (Å, degrees): 5.768 5.768 5.768 144.45 105.77 85.10
Sites, in units of the cell vectors:
Zn1 0.000 0.000 0.000
Cu1 0.500 0.000 0.500
Se1 0.259 0.500 0.759
Se2 0.741 0.500 0.241

Properties
**ΔE_f (raw)**: -0.005 eV per atom

---

(2)
A relaxed ZnCuSe2 crystal, computed with PBE.

Lattice parameters (Å, degrees): 9.700 9.700 9.700 159.18 159.18 29.62
Sites, in units of the cell vectors:
Zn1 0.000 0.000 0.000
Cu1 0.250 0.750 0.500
Se1 0.500 0.500 0.000
Se2 0.750 0.250 0.500

Properties
**ΔE_f (raw)**: 0.009 eV per atom

---

(3)
A relaxed ZnCuSe2 crystal, computed with PBE.

Lattice parameters (Å, degrees): 7.907 7.907 11.447 90.13 90.13 90.11
Sites, in units of the cell vectors:
Zn1 0.006 0.769 0.622
Zn2 0.222 0.500 0.844
Zn3 0.231 0.994 0.878
Zn4 0.500 0.222 0.344
Zn5 0.500 0.778 0.656
Zn6 0.769 0.006 0.122
Zn7 0.778 0.500 0.156
Zn8 0.994 0.231 0.378
Cu1 0.004 0.229 0.604
Cu2 0.229 0.004 0.104
Cu3 0.235 0.495 0.150
Cu4 0.495 0.235 0.650
Cu5 0.505 0.765 0.350
Cu6 0.765 0.505 0.850
Cu7 0.771 0.996 0.896
Cu8 0.996 0.771 0.396
Se1 0.009 0.991 0.250
Se2 0.011 0.508 0.295
Se3 0.161 0.274 0.007
Se4 0.161 0.725 0.007
Se5 0.274 0.161 0.507
Se6 0.275 0.839 0.493
Se7 0.492 0.989 0.205
Se8 0.500 0.500 0.250
Se9 0.500 0.500 0.750
Se10 0.508 0.011 0.795
Se11 0.725 0.161 0.507
Se12 0.726 0.839 0.493
Se13 0.839 0.275 0.993
Se14 0.839 0.726 0.993
Se15 0.989 0.492 0.705
Se16 0.991 0.009 0.750

Properties
**ΔE_f (raw)**: -0.306 eV per atom